Entry 1:
CuPOsS after structural relaxation, computed with PBE-GGA.

Cell: 6.507 3.632 6.674 Å, 90.00 117.59 90.00°
Space group Cm (No. 8)
Unique sites:
Cu  0.000  0.000  0.000 (multiplicity 2)
P  0.005  0.000  0.345 (multiplicity 2)
Os  0.392  0.000  0.472 (multiplicity 2)
S  0.101  0.500  0.855 (multiplicity 2)

Properties
The offset from the most stable computed form comes out at 0.0194 eV/atom.

Entry 2:
Nd6SiS4 after structural relaxation, computed with PBE-GGA.

Cell: 4.094 13.365 20.603 Å, 90.00 90.00 90.00°
Space group Cmcm (No. 63)
Unique sites:
Nd  0.000  0.000  0.000 (multiplicity 4)
Nd  0.000  0.174  0.250 (multiplicity 4)
Nd  0.000  0.274  0.584 (multiplicity 8)
Nd  0.000  0.449  0.165 (multiplicity 8)
Si  0.000  0.165  0.750 (multiplicity 4)
S  0.000  0.090  0.126 (multiplicity 8)
S  0.000  0.363  0.041 (multiplicity 8)

Entry 3:
ErPaS6 after structural relaxation, computed with PBE-GGA.

Cell: 10.512 10.512 10.512 Å, 90.00 90.00 90.00°
Space group Fm-3m (No. 225)
Unique sites:
Er  0.000  0.000  0.000 (multiplicity 4)
Pa  0.000  0.000  0.500 (multiplicity 4)
S  0.000  0.000  0.254 (multiplicity 24)

Entry 4:
AcAg2BiS4 after structural relaxation, computed with PBE-GGA.

Cell: 7.032 7.141 7.886 Å, 90.00 90.00 90.00°
Space group I222 (No. 23)
Unique sites:
Ac  0.000  0.000  0.000 (multiplicity 2)
Ag  0.000  0.500  0.187 (multiplicity 4)
Bi  0.000  0.000  0.500 (multiplicity 2)
S  0.230  0.222  0.306 (multiplicity 8)

Entry 5:
Ba6Na7 after structural relaxation, computed with PBE-GGA.

Cell: 7.3612 7.3612 41.1750 Å, 90.00 90.00 120.00°
Space group R-3m (No. 166, hexagonal axes)
Unique sites:
Ba  0.0000  0.0000  0.0489 (multiplicity 6)
Ba  0.0000  0.0000  0.1515 (multiplicity 6)
Ba  0.0000  0.0000  0.3328 (multiplicity 6)
Na  0.0000  0.0000  0.5000 (multiplicity 3)
Na  0.0015  0.5008  0.9061 (multiplicity 18)

Properties
The value obtained for the formation energy is -2 meV per atom.

Entry 6:
La2Pr2Sm4Mg after structural relaxation, computed with PBE-GGA.

Cell: 6.566 6.627 7.689 Å, 75.64 74.55 86.81°
Space group P-1 (No. 2)
Unique sites:
La  0.184  0.328  0.083 (multiplicity 2)
Pr  0.213  0.382  0.600 (multiplicity 2)
Sm  0.327  0.797  0.193 (multiplicity 2)
Sm  0.367  0.831  0.716 (multiplicity 2)
Mg  0.000  0.000  0.500 (multiplicity 1)

Properties
The value obtained for the formation energy is 82 meV per atom.

Entry 7:
Os7Se6 after structural relaxation, computed with PBE-GGA.

Cell: 5.3652 5.3652 31.7375 Å, 90.00 90.00 120.00°
Space group R-3m (No. 166, hexagonal axes)
Unique sites:
Os  0.0000  0.0000  0.0000 (multiplicity 3)
Os  0.0034  0.5017  0.5962 (multiplicity 18)
Se  0.0000  0.0000  0.1333 (multiplicity 6)
Se  0.0000  0.0000  0.3229 (multiplicity 6)
Se  0.0000  0.0000  0.4256 (multiplicity 6)

Entry 8:
MgRe after structural relaxation, computed with PBE-GGA.

Cell: 11.340 11.340 3.201 Å, 90.00 90.00 90.00°
Space group I4/m (No. 87)
Unique sites:
Mg  0.041  0.809  0.000 (multiplicity 8)
Re  0.185  0.287  0.000 (multiplicity 8)

Properties
The offset from the most stable computed form comes out at 0.9545 eV/atom. The value obtained for the formation energy is 1021 meV per atom.

no.,spin magnetization (μB/atom),E (eV per atom)
1,0.000,-6.268
2,0.044,-6.204
3,0.000,-5.543
4,0.000,-4.483
5,0.000,-1.600
6,0.000,-4.350
7,0.000,-6.954
8,0.000,-6.000